Computed, not measured: CdCuMoAs after structural relaxation at the PBE level of DFT.

Lattice parameters (Å, degrees): 4.505 4.505 4.505 60.00 60.00 60.00
Fractional positions:
1 Cd 0.000 0.000 0.000
2 Cu 0.750 0.750 0.750
3 Mo 0.250 0.250 0.250
4 As 0.500 0.500 0.500

Values from the calculation:
Relative energy among the computed polymorphs (eV/atom): 0.000
Magnetization (μB/f.u.): 0.0
Volume (Å³/f.u.): 64.7
Total energy (eV for the cell shown): -18.2

Computed, not measured: TbGdSe2 after structural relaxation at the PBE level of DFT.

Lattice parameters (Å, degrees): 4.096 4.096 5.797 90.00 90.00 90.00
Fractional positions:
1 Tb 0.000 0.000 0.000
2 Gd 0.500 0.500 0.500
3 Se 0.000 0.000 0.500
4 Se 0.500 0.500 0.000

Values from the calculation:
Magnetization (μB/f.u.): 0.0
Volume (Å³/f.u.): 97.3
Total energy (eV for the cell shown): -23.4

Computed, not measured: Dy2Lu3Ga3 after structural relaxation at the PBE level of DFT.

Lattice parameters (Å, degrees): 6.516 4.753 6.598 90.00 106.43 90.00
Fractional positions:
1 Dy 0.000 0.000 0.000
2 Dy 0.315 0.500 0.795
3 Lu 0.300 0.500 0.290
4 Lu 0.594 0.000 0.576
5 Lu 0.804 0.500 0.298
6 Ga 0.107 0.000 0.488
7 Ga 0.499 0.000 0.101
8 Ga 0.801 0.500 0.783

Values from the calculation:
Relative energy among the computed polymorphs (eV/atom): 0.000
Magnetization (μB/f.u.): 0.0
Volume (Å³/f.u.): 196.0
Total energy (eV for the cell shown): -35.0

Computed, not measured: ThSnOs after structural relaxation at the PBE level of DFT.

Lattice parameters (Å, degrees): 4.763 4.763 4.763 60.00 60.00 60.00
Fractional positions:
1 Th 0.000 0.000 0.000
2 Sn 0.500 0.500 0.500
3 Os 0.750 0.750 0.750

Values from the calculation:
Magnetization (μB/f.u.): 0.0
Volume (Å³/f.u.): 76.4
Total energy (eV for the cell shown): -23.4

Computed, not measured: Pr2Al3Hg3 after structural relaxation at the PBE level of DFT.

Lattice parameters (Å, degrees): 6.683 4.797 6.716 90.00 119.11 90.00
Fractional positions:
1 Pr 0.000 0.000 0.000
2 Pr 0.333 0.500 0.676
3 Al 0.531 0.000 0.056
4 Al 0.828 0.500 0.635
5 Al 0.961 0.000 0.489
6 Hg 0.351 0.500 0.171
7 Hg 0.528 0.000 0.508
8 Hg 0.831 0.500 0.188

Values from the calculation:
Relative energy among the computed polymorphs (eV/atom): 0.026
Magnetization (μB/f.u.): 0.0
Volume (Å³/f.u.): 188.1
Total energy (eV for the cell shown): -24.4

Computed, not measured: HoErCS after structural relaxation at the PBE level of DFT.

Lattice parameters (Å, degrees): 3.675 3.675 12.792 90.00 90.00 120.00
Fractional positions:
1 Ho 0.000 0.000 0.146
2 Ho 0.000 0.000 0.854
3 Er 0.667 0.333 0.354
4 Er 0.667 0.333 0.646
5 C 0.333 0.667 0.251
6 C 0.333 0.667 0.749
7 S 0.000 0.000 0.500
8 S 0.667 0.333 0.000

Values from the calculation:
Magnetization (μB/f.u.): 0.0
Volume (Å³/f.u.): 74.8
Total energy (eV for the cell shown): -55.2

Computed, not measured: ErCo5As3 after structural relaxation at the PBE level of DFT.

Lattice parameters (Å, degrees): 12.126 3.762 10.657 90.00 90.00 90.00
Fractional positions:
1 Er 0.202 0.250 0.082
2 Er 0.298 0.750 0.582
3 Er 0.702 0.250 0.418
4 Er 0.798 0.750 0.918
5 Co 0.009 0.750 0.713
6 Co 0.012 0.750 0.093
7 Co 0.068 0.750 0.470
8 Co 0.178 0.250 0.785
9 Co 0.197 0.250 0.385
10 Co 0.303 0.750 0.885
11 Co 0.322 0.750 0.285
12 Co 0.432 0.250 0.970
13 Co 0.488 0.250 0.593
14 Co 0.491 0.250 0.213
15 Co 0.509 0.750 0.787
16 Co 0.512 0.750 0.407
17 Co 0.568 0.750 0.030
18 Co 0.678 0.250 0.715
19 Co 0.697 0.250 0.115
20 Co 0.803 0.750 0.615
21 Co 0.822 0.750 0.215
22 Co 0.932 0.250 0.530
23 Co 0.988 0.250 0.907
24 Co 0.991 0.250 0.287
25 As 0.110 0.750 0.900
26 As 0.114 0.250 0.586
27 As 0.129 0.750 0.269
28 As 0.371 0.250 0.769
29 As 0.386 0.750 0.086
30 As 0.390 0.250 0.400
31 As 0.610 0.750 0.600
32 As 0.614 0.250 0.914
33 As 0.629 0.750 0.231
34 As 0.871 0.250 0.731
35 As 0.886 0.750 0.414
36 As 0.890 0.250 0.100

Values from the calculation:
Magnetization (μB/f.u.): 0.0
Volume (Å³/f.u.): 121.5
Total energy (eV for the cell shown): -234.6

Computed, not measured: NaDyFe after structural relaxation at the PBE level of DFT.

Lattice parameters (Å, degrees): 4.759 4.759 4.759 60.00 60.00 60.00
Fractional positions:
1 Na 0.000 0.000 0.000
2 Dy 0.500 0.500 0.500
3 Fe 0.750 0.750 0.750

Values from the calculation:
Relative energy among the computed polymorphs (eV/atom): 0.000
Magnetization (μB/f.u.): 1.8
Volume (Å³/f.u.): 76.2
Total energy (eV for the cell shown): -11.8

- Which of these has the highest magnetization?
  NaDyFe

- Which value of magnetization does entry 3 give?
  0.0 μB/f.u.

- Which of these has the highest magnetization?
  NaDyFe

Repeat the second record exactly.
Computed, not measured: TbGdSe2 after structural relaxation at the PBE level of DFT.

Lattice parameters (Å, degrees): 4.096 4.096 5.797 90.00 90.00 90.00
Fractional positions:
1 Tb 0.000 0.000 0.000
2 Gd 0.500 0.500 0.500
3 Se 0.000 0.000 0.500
4 Se 0.500 0.500 0.000

Values from the calculation:
Magnetization (μB/f.u.): 0.0
Volume (Å³/f.u.): 97.3
Total energy (eV for the cell shown): -23.4